Here is MgZn2Ir at its PBEsol-relaxed geometry from the Alexandria database. Energies are from meta-GGA SCAN.

Cell lengths 4.850, 4.850, 4.850 Å; angles 134.42, 134.42, 66.43 degrees
Fractional positions:
Mg1 0.000 0.000 0.000
Zn1 0.500 0.500 0.000
Zn2 0.750 0.250 0.500
Ir1 0.250 0.750 0.500

Output
As for the formation energy: -323 meV per atom. For the density, the calculation gives 10.07 Mg/m³.